Entry from Alexandria: La3Tb6Tm after structural relaxation (PBE).

Geometry as POSCAR:
```
La3Tb6Tm
1.0
4.9738 2.8716 3.9103
-4.9738 2.8716 3.9103
0.0000 -5.7433 3.9103
La Tb Tm
3 6 1
direct
0.0000 0.0000 0.0000
0.2473 0.2473 0.2473
0.7527 0.7527 0.7527
0.0770 0.4262 0.7440
0.2560 0.9230 0.5738
0.4262 0.7440 0.0770
0.5738 0.2560 0.9230
0.7440 0.0770 0.4262
0.9230 0.5738 0.2560
0.5000 0.5000 0.5000
```

## Properties
Final energy = -4.43 eV per atom
DFT formation energy = 0.269 eV/atom
Distance to the lowest polymorph of the same formula = 119.9 meV/atom